(1)
This record from Alexandria describes TaPtRh at its PBEsol-relaxed geometry. The functional is meta-GGA SCAN.

a = 4.8551 Å, b = 4.8551 Å, c = 4.8551 Å
α = 146.33°, β = 133.75°, γ = 58.42°
Closest atoms and distances in Å follow each position.
Sites, in units of the cell vectors:
Ta: 0.0000 0.0000 0.0000  5 Rh 2.73-2.88, 5 Pt 2.77-2.80, 2 Ta 2.81
Pt: 0.6697 0.6697 0.0000  5 Ta 2.77-2.80, 5 Rh 2.78-2.79, 2 Pt 2.81
Rh: 0.3404 0.3404 0.0000  5 Ta 2.73-2.88, 5 Pt 2.78-2.79, 2 Rh 2.81

Computed properties:
The value obtained for the energy above the most stable polymorph in this dataset is 0.0 meV/atom. As for the space-group type: No. 44. The calculation puts the density at 17.5 g cm⁻³.

(2)
This record from Alexandria describes Be3Co at its PBEsol-relaxed geometry. The functional is meta-GGA SCAN.

a = 3.1935 Å, b = 3.1935 Å, c = 3.1935 Å
α = 90.00°, β = 90.00°, γ = 90.00°
Closest atoms and distances in Å follow each position.
Sites, in units of the cell vectors:
Be: 0.0000 0.0000 0.5000  4 Co 2.26, 8 Be 2.26
Be: 0.0000 0.5000 0.0000  4 Co 2.26, 8 Be 2.26
Be: 0.5000 0.0000 0.0000  4 Co 2.26, 8 Be 2.26
Co: 0.5000 0.5000 0.5000  12 Be 2.26

Computed properties:
As for the space-group type: No. 221. The calculation puts the density at 4.4 g cm⁻³. For the total energy, the calculation gives -31.15 eV for the cell shown.

(3)
This record from Alexandria describes K2YCu at its PBEsol-relaxed geometry. The functional is meta-GGA SCAN.

a = 5.5559 Å, b = 5.5559 Å, c = 5.5559 Å
α = 119.89°, β = 119.89°, γ = 90.19°
Closest atoms and distances in Å follow each position.
Sites, in units of the cell vectors:
K: 0.0000 0.0000 0.0000  4 K 3.40, 4 Cu 3.40
K: 0.7500 0.2500 0.5000  4 K 3.40, 4 Y 3.40
Y: 0.5000 0.5000 0.0000  4 K 3.40, 4 Cu 3.40
Cu: 0.2500 0.7500 0.5000  4 K 3.40, 4 Y 3.40

Computed properties:
The value obtained for the energy above the most stable polymorph in this dataset is 80.4 meV/atom. As for the space-group type: No. 119. The calculation puts the density at 3.2 g cm⁻³.

(4)
This record from Alexandria describes LaCo2Rh2 at its PBEsol-relaxed geometry. The functional is meta-GGA SCAN.

a = 5.9803 Å, b = 5.9803 Å, c = 5.9803 Å
α = 141.12°, β = 141.12°, γ = 56.16°
Closest atoms and distances in Å follow each position.
Sites, in units of the cell vectors:
La: 0.0000 0.0000 0.0000  8 Rh 3.08, 8 Co 3.30
Co: 0.2500 0.7500 0.5000  4 Rh 2.43
Co: 0.7500 0.2500 0.5000  4 Rh 2.43
Rh: 0.3816 0.3816 0.0000  4 Co 2.43, 1 Rh 2.50
Rh: 0.6185 0.6185 0.0000  4 Co 2.43, 1 Rh 2.50

Computed properties:
As for the space-group type: No. 139. The calculation puts the density at 9.2 g cm⁻³. For the total energy, the calculation gives -146.18 eV for the cell shown.

(5)
This record from Alexandria describes CuSnPd2 at its PBEsol-relaxed geometry. The functional is meta-GGA SCAN.

a = 3.9248 Å, b = 7.8293 Å, c = 7.8623 Å
α = 90.00°, β = 90.00°, γ = 90.00°
Closest atoms and distances in Å follow each position.
Sites, in units of the cell vectors:
Cu: 0.0000 0.0000 0.0000  8 Pd 2.76-2.79, 4 Sn 2.77
Cu: 0.0000 0.5000 0.5000  4 Pd 2.65, 4 Sn 2.78, 4 Cu 2.80
Cu: 0.5000 0.2441 0.5000  6 Pd 2.68-2.74, 4 Sn 2.79, 2 Cu 2.80
Cu: 0.5000 0.7559 0.5000  6 Pd 2.68-2.74, 4 Sn 2.79, 2 Cu 2.80
Sn: 0.0000 0.2498 0.2487  4 Cu 2.77-2.79, 8 Pd 2.77-2.78
Sn: 0.0000 0.2498 0.7513  4 Cu 2.77-2.79, 8 Pd 2.77-2.78
Sn: 0.0000 0.7502 0.2487  4 Cu 2.77-2.79, 8 Pd 2.77-2.78
Sn: 0.0000 0.7502 0.7513  4 Cu 2.77-2.79, 8 Pd 2.77-2.78
Pd: 0.0000 0.0000 0.5000  4 Cu 2.74, 4 Pd 2.77, 4 Sn 2.78
Pd: 0.0000 0.5000 0.0000  4 Sn 2.77, 8 Pd 2.78-2.91
Pd: 0.5000 0.0000 0.2516  4 Cu 2.73-2.79, 4 Pd 2.77, 4 Sn 2.77
Pd: 0.5000 0.0000 0.7484  4 Cu 2.73-2.79, 4 Pd 2.77, 4 Sn 2.77
Pd: 0.5000 0.2481 0.0000  2 Cu 2.76, 4 Sn 2.77, 6 Pd 2.77-2.91
Pd: 0.5000 0.5000 0.2727  4 Cu 2.65-2.68, 4 Sn 2.78, 4 Pd 2.91
Pd: 0.5000 0.5000 0.7273  4 Cu 2.65-2.68, 4 Sn 2.78, 4 Pd 2.91
Pd: 0.5000 0.7519 0.0000  2 Cu 2.76, 4 Sn 2.77, 6 Pd 2.77-2.91

Computed properties:
As for the space-group type: No. 47. The calculation puts the density at 10.9 g cm⁻³. For the total energy, the calculation gives -471.46 eV for the cell shown.

(6)
This record from Alexandria describes Sr2PbF2 at its PBEsol-relaxed geometry. The functional is meta-GGA SCAN.

a = 8.0679 Å, b = 8.0679 Å, c = 8.0679 Å
α = 151.72°, β = 151.72°, γ = 40.42°
Closest atoms and distances in Å follow each position.
Sites, in units of the cell vectors:
Sr: 0.1548 0.1548 0.0000  4 F 2.44
Sr: 0.8452 0.8452 0.0000  4 F 2.44
Pb: 0.5000 0.5000 0.0000  8 Sr 3.64, 4 Pb 3.94
F: 0.2500 0.7500 0.5000  4 Sr 2.44
F: 0.7500 0.2500 0.5000  4 Sr 2.44

Computed properties:
As for the space-group type: No. 139. Its raw formation energy is -2.79 eV per atom. The calculation puts the density at 5.9 g cm⁻³.

(7)
This record from Alexandria describes SrLi2Ru at its PBEsol-relaxed geometry. The functional is meta-GGA SCAN.

a = 3.2390 Å, b = 3.4447 Å, c = 7.5175 Å
α = 90.00°, β = 90.00°, γ = 90.00°
Closest atoms and distances in Å follow each position.
Sites, in units of the cell vectors:
Sr: 0.0000 0.0000 0.0000  4 Ru 3.03, 1 Li 3.04, 2 Sr 3.24
Li: 0.0000 0.0000 0.5950  4 Ru 2.63, 4 Li 2.77
Li: 0.5000 0.5000 0.4023  1 Ru 2.60, 4 Li 2.77
Ru: 0.5000 0.5000 0.7482  5 Li 2.60-2.63

Computed properties:
As for the space-group type: No. 25. The calculation puts the density at 4.0 g cm⁻³. For the total energy, the calculation gives -60.29 eV for the cell shown.

(8)
This record from Alexandria describes Pb7Au at its PBEsol-relaxed geometry. The functional is meta-GGA SCAN.

a = 6.8009 Å, b = 6.8009 Å, c = 6.8009 Å
α = 60.00°, β = 60.00°, γ = 60.00°
Closest atoms and distances in Å follow each position.
Sites, in units of the cell vectors:
Pb: 0.0000 0.0000 0.0000  12 Pb 3.40
Pb: 0.0000 0.0000 0.5000  10 Pb 3.40, 2 Au 3.40
Pb: 0.0000 0.5000 0.0000  10 Pb 3.40, 2 Au 3.40
Pb: 0.0000 0.5000 0.5000  10 Pb 3.40, 2 Au 3.40
Pb: 0.5000 0.0000 0.0000  10 Pb 3.40, 2 Au 3.40
Pb: 0.5000 0.0000 0.5000  10 Pb 3.40, 2 Au 3.40
Pb: 0.5000 0.5000 0.0000  10 Pb 3.40, 2 Au 3.40
Au: 0.5000 0.5000 0.5000  12 Pb 3.40

Computed properties:
As for the space-group type: No. 225. The calculation puts the density at 12.3 g cm⁻³. For the total energy, the calculation gives -599.22 eV for the cell shown.

(9)
This record from Alexandria describes Mn2NbCl at its PBEsol-relaxed geometry. The functional is meta-GGA SCAN.

a = 4.3885 Å, b = 4.3885 Å, c = 4.3885 Å
α = 60.00°, β = 60.00°, γ = 60.00°
Closest atoms and distances in Å follow each position.
Sites, in units of the cell vectors:
Mn: 0.2500 0.2500 0.2500  4 Nb 2.69, 4 Cl 2.69
Mn: 0.7500 0.7500 0.7500  4 Nb 2.69, 4 Cl 2.69
Nb: 0.0000 0.0000 0.0000  8 Mn 2.69
Cl: 0.5000 0.5000 0.5000  8 Mn 2.69

Computed properties:
As for the space-group type: No. 225. Its raw formation energy is 0.56 eV per atom. The calculation puts the density at 6.6 g cm⁻³.

(10)
This record from Alexandria describes Sr2Hg2Se at its PBEsol-relaxed geometry. The functional is meta-GGA SCAN.

a = 6.2327 Å, b = 6.2327 Å, c = 6.2327 Å
α = 122.21°, β = 122.21°, γ = 86.22°
Closest atoms and distances in Å follow each position.
Sites, in units of the cell vectors:
Sr: 0.2500 0.7500 0.5000  4 Hg 3.14
Sr: 0.7500 0.2500 0.5000  4 Hg 3.14
Hg: 0.1514 0.1514 0.0000  1 Hg 2.76
Hg: 0.8486 0.8486 0.0000  1 Hg 2.76
Se: 0.5000 0.5000 0.0000  2 Hg 3.17

Computed properties:
As for the space-group type: No. 139. Its raw formation energy is -0.60 eV per atom. The calculation puts the density at 6.6 g cm⁻³.

(11)
This record from Alexandria describes CaDy2Ge4O12 at its PBEsol-relaxed geometry. The functional is meta-GGA SCAN.

a = 9.9842 Å, b = 9.9842 Å, c = 5.0669 Å
α = 90.00°, β = 90.00°, γ = 90.04°
Closest atoms and distances in Å follow each position.
Sites, in units of the cell vectors:
Ca: 0.0000 0.0000 0.0000  4 O 2.26
Ca: 0.5000 0.5000 0.0000  4 O 2.26
Dy: 0.0000 0.5000 0.0000  6 O 2.19-2.42
Dy: 0.2500 0.2500 0.0000  8 O 2.31-2.39
Dy: 0.5000 0.0000 0.0000  6 O 2.19-2.42
Dy: 0.7500 0.7500 0.0000  8 O 2.31-2.39
Ge: 0.0200 0.7504 0.5043  4 O 1.72-1.83
Ge: 0.2504 0.5200 0.5043  4 O 1.72-1.83
Ge: 0.2496 0.9800 0.5043  4 O 1.72-1.83
Ge: 0.4800 0.7496 0.5043  4 O 1.72-1.83
Ge: 0.5200 0.2504 0.4957  4 O 1.72-1.83
Ge: 0.7504 0.0200 0.4957  4 O 1.72-1.83
Ge: 0.7496 0.4800 0.4957  4 O 1.72-1.83
Ge: 0.9800 0.2496 0.4957  4 O 1.72-1.83
O: 0.0595 0.3280 0.7584  1 Ge 1.74
O: 0.0696 0.1758 0.2454  1 Ge 1.72
O: 0.1231 0.6231 0.6677  2 Ge 1.83
O: 0.1304 0.8696 0.3496  2 Ge 1.80
O: 0.1720 0.4405 0.2416  1 Ge 1.74
O: 0.1758 0.0696 0.7546  1 Ge 1.72
O: 0.3242 0.4304 0.7546  1 Ge 1.72
O: 0.3280 0.0595 0.2416  1 Ge 1.74
O: 0.3696 0.6304 0.3496  2 Ge 1.80
O: 0.3769 0.8769 0.6677  2 Ge 1.83
O: 0.4304 0.3242 0.2454  1 Ge 1.72
O: 0.4405 0.1720 0.7584  1 Ge 1.74
O: 0.5595 0.8280 0.2416  1 Ge 1.74
O: 0.5696 0.6758 0.7546  1 Ge 1.72
O: 0.6231 0.1231 0.3323  2 Ge 1.83
O: 0.6304 0.3696 0.6504  2 Ge 1.80
O: 0.6720 0.9405 0.7584  1 Ge 1.74
O: 0.6758 0.5696 0.2454  1 Ge 1.72
O: 0.8242 0.9304 0.2454  1 Ge 1.72
O: 0.8280 0.5595 0.7584  1 Ge 1.74
O: 0.8696 0.1304 0.6504  2 Ge 1.80
O: 0.8769 0.3769 0.3323  2 Ge 1.83
O: 0.9304 0.8242 0.7546  1 Ge 1.72
O: 0.9405 0.6720 0.2416  1 Ge 1.74

Computed properties:
As for the space-group type: No. 67. Its raw formation energy is -2.60 eV per atom. The calculation puts the density at 5.6 g cm⁻³.

(12)
This record from Alexandria describes ZrCuCl3 at its PBEsol-relaxed geometry. The functional is meta-GGA SCAN.

a = 4.6215 Å, b = 4.6215 Å, c = 4.6215 Å
α = 90.00°, β = 90.00°, γ = 90.00°
Closest atoms and distances in Å follow each position.
Sites, in units of the cell vectors:
Zr: 0.0000 0.0000 0.0000  12 Cl 3.27
Cu: 0.5000 0.5000 0.5000  6 Cl 2.31
Cl: 0.0000 0.5000 0.5000  2 Cu 2.31
Cl: 0.5000 0.0000 0.5000  2 Cu 2.31
Cl: 0.5000 0.5000 0.0000  2 Cu 2.31

Computed properties:
As for the space-group type: No. 221. Its raw formation energy is -0.43 eV per atom. The calculation puts the density at 4.4 g cm⁻³.

(13)
This record from Alexandria describes GeOsSeN2 at its PBEsol-relaxed geometry. The functional is meta-GGA SCAN.

a = 3.5750 Å, b = 3.5750 Å, c = 6.2813 Å
α = 90.00°, β = 90.00°, γ = 90.00°
Closest atoms and distances in Å follow each position.
Sites, in units of the cell vectors:
Ge: 0.0000 0.0000 0.0000  4 N 1.79
Os: 0.5000 0.5000 0.5000  4 Se 2.53
Se: 0.0000 0.0000 0.5000  4 Os 2.53
N: 0.0000 0.5000 0.0000  2 Ge 1.79
N: 0.5000 0.0000 0.0000  2 Ge 1.79

Computed properties:
As for the space-group type: No. 123. Its raw formation energy is 1.78 eV per atom. The calculation puts the density at 7.7 g cm⁻³.